# 1
VASP calculation (GGA-PBE) on crystalline La2CdBIr at its relaxed geometry.

Cell: 5.484 5.484 4.038 Å, 90.00 90.00 90.00°
Fractional coordinates of all 5 atoms:
1 La 0.500 0.000 0.000
2 La 0.000 0.500 0.000
3 Cd 0.500 0.500 0.500
4 Ir 0.000 0.000 0.500
5 B 0.000 0.000 0.000

The value obtained for the density of states at the Fermi level is 3.9 states/eV/f.u. The calculation puts the formation enthalpy at 0 K at -0.406 eV/atom. The value obtained for the uncorrected energy is -5.67 eV per atom.



# 2
VASP calculation (GGA-PBE) on crystalline HgPdO at its relaxed geometry.

Cell: 5.711 5.711 6.219 Å, 62.66 62.66 60.00°
Fractional coordinates of all 9 atoms:
1 Hg 0.122 0.398 0.698
2 Hg 0.398 0.782 0.698
3 Hg 0.782 0.122 0.698
4 Pd 0.887 0.887 0.338
5 Pd 0.643 0.643 0.070
6 Pd 0.307 0.307 0.080
7 O 0.275 0.900 0.288
8 O 0.538 0.275 0.288
9 O 0.900 0.538 0.288

The value obtained for the raw formation energy is -4 kJ/mol of formula units. The value obtained for the density of states at the Fermi level is 2.1 states/eV/f.u. The value obtained for the uncorrected energy is -3.50 eV per atom. Its energy above the lowest structure with this stoichiometry is 0.30 eV/f.u.